1.
Crystalline CeDyGa4 at its relaxed geometry, computed with PBE.

Its total energy is -4.39 eV/atom. As for the space group: I-4m2 (119). The energy of formation is -0.6112 eV per atom.

Cell: 4.203 4.203 7.936 Å, 105.36 105.36 90.00°
Each line ends with the local moment (μB).
Sites, in units of the cell vectors:
Ga (0.583, 0.583, 0.167)  -0.01
Ga (0.417, 0.417, 0.833)  -0.01
Ga (0.832, 0.332, 0.665)  -0.01
Ga (0.668, 0.168, 0.335)  -0.01
Dy (0.250, 0.750, 0.500)  -0.03
Ce (0.000, 0.000, 0.000)  0.51

---

2.
Crystalline KNa2SnGe at its relaxed geometry, computed with PBE.

Its total energy is -2.46 eV/atom. As for the space group: P4/mmm (123). The energy of formation is 0.0135 eV per atom.

Cell: 5.757 5.757 5.373 Å, 90.00 90.00 90.00°
Sites, in units of the cell vectors:
Na (0.000, 0.500, 0.000)
Na (0.500, 0.000, 0.000)
K (0.500, 0.500, 0.500)
Sn (0.000, 0.000, 0.500)
Ge (0.000, 0.000, 0.000)

---

3.
Crystalline LiUPbCl6 at its relaxed geometry, computed with PBE.

Its total energy is -4.63 eV/atom. For the uncorrected formation energy, the calculation gives -1517 meV/atom. As for the space group: P-31c (163).

Cell: 6.870 6.870 12.764 Å, 90.00 90.00 120.00°
Each line ends with the local moment (μB).
Sites, in units of the cell vectors:
Pb (0.000, 0.000, 0.500)  0.03
Pb (0.000, 0.000, 0.000)  0.03
Cl (0.986, 0.344, 0.132)  -0.01
Cl (0.641, 0.656, 0.632)  -0.01
Cl (0.641, 0.986, 0.868)  -0.01
Cl (0.344, 0.986, 0.632)  -0.01
Cl (0.359, 0.014, 0.132)  -0.01
Cl (0.344, 0.359, 0.868)  -0.01
Cl (0.656, 0.641, 0.132)  -0.01
Cl (0.656, 0.014, 0.368)  -0.01
Cl (0.014, 0.359, 0.632)  -0.01
Cl (0.986, 0.641, 0.368)  -0.01
Cl (0.014, 0.656, 0.868)  -0.01
Cl (0.359, 0.344, 0.368)  -0.01
Li (0.667, 0.333, 0.250)  0.00
Li (0.333, 0.667, 0.750)  0.00
U (0.333, 0.667, 0.250)  2.86
U (0.667, 0.333, 0.750)  2.86

---

4.
Crystalline K2Cd2Fe at its relaxed geometry, computed with PBE.

Its total energy is -2.07 eV/atom. As for the space group: P4/mbm (127). The energy of formation is 0.4242 eV per atom.

Cell: 7.303 7.303 5.858 Å, 90.00 90.00 90.00°
Each line ends with the local moment (μB).
Sites, in units of the cell vectors:
Cd (0.849, 0.651, 0.000)  -0.02
Cd (0.651, 0.151, 0.000)  -0.02
Cd (0.151, 0.349, 0.000)  -0.02
Cd (0.349, 0.849, 0.000)  -0.02
K (0.825, 0.325, 0.500)  -0.01
K (0.675, 0.825, 0.500)  -0.01
K (0.175, 0.675, 0.500)  -0.01
K (0.325, 0.175, 0.500)  -0.01
Fe (0.000, 0.000, 0.000)  2.93
Fe (0.500, 0.500, 0.000)  2.93

---

5.
Crystalline UZn3Pt3 at its relaxed geometry, computed with PBE.

Its total energy is -5.24 eV/atom. As for the space group: R-3 (148). The energy of formation is -0.4917 eV per atom.

Cell: 6.691 6.691 7.449 Å, 63.31 63.31 60.00°
Each line ends with the local moment (μB).
Sites, in units of the cell vectors:
Pt (0.689, 0.931, 0.190)  -0.02
Pt (0.311, 0.069, 0.810)  -0.02
Pt (0.931, 0.190, 0.190)  -0.02
Pt (0.190, 0.689, 0.190)  -0.02
Pt (0.069, 0.810, 0.810)  -0.02
Pt (0.810, 0.311, 0.810)  -0.02
Zn (0.091, 0.562, 0.602)  0.01
Zn (0.909, 0.438, 0.398)  0.01
Zn (0.745, 0.091, 0.602)  0.01
Zn (0.438, 0.255, 0.398)  0.01
Zn (0.255, 0.909, 0.398)  0.01
Zn (0.562, 0.745, 0.602)  0.01
U (0.339, 0.339, 0.984)  1.72
U (0.661, 0.661, 0.016)  1.72

---

6.
Crystalline Ac6ThO12 at its relaxed geometry, computed with PBE.

Its total energy is -8.04 eV/atom. For the uncorrected formation energy, the calculation gives -3220 meV/atom. As for the space group: R-3 (148).

Cell: 7.220 7.220 7.220 Å, 99.17 99.17 99.17°
Each line ends with the local moment (μB).
Sites, in units of the cell vectors:
O (0.440, 0.177, 0.590)  0.18
O (0.410, 0.560, 0.823)  0.18
O (0.177, 0.590, 0.440)  0.18
O (0.058, 0.937, 0.691)  0.11
O (0.063, 0.309, 0.942)  0.11
O (0.691, 0.058, 0.937)  0.11
O (0.937, 0.691, 0.058)  0.11
O (0.560, 0.823, 0.410)  0.18
O (0.309, 0.942, 0.063)  0.11
O (0.823, 0.410, 0.560)  0.18
O (0.942, 0.063, 0.309)  0.11
O (0.590, 0.440, 0.177)  0.18
Ac (0.703, 0.396, 0.862)  0.01
Ac (0.297, 0.604, 0.138)  0.01
Ac (0.138, 0.297, 0.604)  0.01
Ac (0.862, 0.703, 0.396)  0.01
Ac (0.604, 0.138, 0.297)  0.01
Ac (0.396, 0.862, 0.703)  0.01
Th (0.000, 0.000, 0.000)  0.06

---

7.
Crystalline HfBeNi6B at its relaxed geometry, computed with PBE.

Its total energy is -6.30 eV/atom. As for the space group: Imma (74). The energy of formation is -0.1857 eV per atom.

Cell: 7.497 5.696 6.747 Å, 114.97 123.75 90.00°
Sites, in units of the cell vectors:
Hf (0.959, 0.209, 0.919)
Hf (0.041, 0.791, 0.081)
Ni (0.871, 0.592, 0.251)
Ni (0.759, 0.509, 0.518)
Ni (0.871, 0.159, 0.251)
Ni (0.241, 0.491, 0.482)
Ni (0.675, 0.925, 0.350)
Ni (0.380, 0.159, 0.251)
Ni (0.620, 0.408, 0.749)
Ni (0.620, 0.841, 0.749)
Ni (0.380, 0.592, 0.251)
Ni (0.129, 0.408, 0.749)
Ni (0.129, 0.841, 0.749)
Ni (0.325, 0.075, 0.650)
B (0.500, 0.000, 0.500)
B (0.000, 0.000, 0.500)
Be (0.500, 0.500, 0.000)
Be (0.500, 0.000, 0.000)

---

8.
Crystalline ZrVSe2 at its relaxed geometry, computed with PBE.

Its total energy is -6.62 eV/atom. For the uncorrected formation energy, the calculation gives -461 meV/atom. As for the space group: I-42d (122).

Cell: 5.962 5.962 7.120 Å, 65.25 65.25 90.00°
Each line ends with the local moment (μB).
Sites, in units of the cell vectors:
V (0.250, 0.750, 0.500)  2.34
V (0.500, 0.500, 0.000)  2.34
Se (0.375, 0.398, 0.750)  -0.03
Se (0.148, 0.625, 0.250)  -0.03
Se (0.875, 0.852, 0.750)  -0.03
Se (0.602, 0.125, 0.250)  -0.03
Zr (0.750, 0.250, 0.500)  0.30
Zr (0.000, 0.000, 0.000)  0.30